# PBE+U OsWNO2, optimized geometry
data_OsWNO2
_cell_length_a 3.973
_cell_length_b 3.973
_cell_length_c 3.872
_cell_angle_alpha 90.00
_cell_angle_beta 90.00
_cell_angle_gamma 90.00
_symmetry_space_group_name_H-M 'P 4/m m m'
_symmetry_Int_Tables_number 123
_symmetry_space_group_name_Hall '-P 4 2'
loop_
_atom_site_label
_atom_site_type_symbol
_atom_site_fract_x
_atom_site_fract_y
_atom_site_fract_z
Os1 Os 0.000 0.000 0.000
W1 W 0.500 0.500 0.500
N1 N 0.000 0.000 0.500
O1 O 0.000 0.500 0.000
# E: -35.06 eV/f.u.
# Fermi-level density of states: 0.46 states/eV per atom